This record from the Alexandria database describes a crystal of MnNiP relaxed with PBEsol. The functional is meta-GGA SCAN.

Calculated values
N(E_F) ... 6.71 states/eV/cell
E ... -15.593 eV/atom
Crystal system ... orthorhombic
V ... 131 Å³ per cell
Calculated density ... 7.354 g cm⁻³
Total magnetic moment ... 0.82 μB/atom

a = 5.744 Å, b = 3.409 Å, c = 6.669 Å
α = 90.00°, β = 90.00°, γ = 90.00°
Sites, in units of the cell vectors:
Mn (0.032, 0.250, 0.161)
Mn (0.468, 0.750, 0.661)
Mn (0.532, 0.250, 0.339)
Mn (0.968, 0.750, 0.839)
Ni (0.139, 0.250, 0.565)
Ni (0.361, 0.750, 0.065)
Ni (0.639, 0.250, 0.935)
Ni (0.861, 0.750, 0.435)
P (0.243, 0.750, 0.371)
P (0.257, 0.250, 0.871)
P (0.743, 0.750, 0.129)
P (0.757, 0.250, 0.629)